Run P
VASP calculation (PBE-GGA) on crystalline AcSmAs2 at its relaxed geometry.

Cell and atoms, written as POSCAR:
```
AcSmAs2
1.0
-3.010 -1.813 3.998
-3.438 -3.975 -0.847
0.938 -4.815 2.065
Ac As Sm
1 2 1
direct
0.000 0.000 0.000 Ac
0.750 0.750 0.750 As
0.250 0.250 0.250 As
0.500 0.500 0.500 Sm
```

Values from the calculation:
- volume (Å³ per cell) = 106.6
- crystal system = cubic

---

Run Q
VASP calculation (PBE-GGA) on crystalline AcSmAs2 at its relaxed geometry.

Cell and atoms, written as POSCAR:
```
AcSmAs2
1.0
-4.025 1.172 -1.277
-3.300 -2.873 0.247
-3.899 1.676 6.304
Sm As Ac
1 2 1
direct
0.000 0.000 0.000 Sm
0.744 0.744 0.767 As
0.256 0.256 0.233 As
0.500 0.500 0.500 Ac
```

Values from the calculation:
- volume (Å³ per cell) = 119.2
- crystal system = trigonal

---

Run R
VASP calculation (PBE-GGA) on crystalline AcSmAs2 at its relaxed geometry.

Cell and atoms, written as POSCAR:
```
AcSmAs2
1.0
-0.751 4.257 0.417
-0.667 -2.662 3.365
13.701 1.996 4.296
As Ac Sm
4 2 2
direct
0.667 0.333 0.885 As
0.333 0.667 0.385 As
0.333 0.667 0.115 As
0.667 0.333 0.615 As
0.667 0.333 0.250 Ac
0.333 0.667 0.750 Ac
0.000 0.000 0.000 Sm
0.000 0.000 0.500 Sm
```

Values from the calculation:
- volume (Å³ per cell) = 236.7
- crystal system = hexagonal

---

run Q ends up most stable, edging out the next structure by 0.033 eV/atom.

---

Run P
VASP calculation (PBE-GGA) on crystalline Ac3SmAs4 at its relaxed geometry.

Cell and atoms, written as POSCAR:
```
Ac3SmAs4
1.0
-0.759 6.279 -0.316
-4.518 -0.324 4.426
4.372 0.756 4.519
As Ac Sm
4 3 1
direct
0.000 0.000 0.500 As
0.000 0.500 0.000 As
0.500 0.000 0.000 As
0.500 0.500 0.500 As
0.500 0.500 0.000 Ac
0.000 0.500 0.500 Ac
0.500 0.000 0.500 Ac
0.000 0.000 0.000 Sm
```

Values from the calculation:
- volume (Å³ per cell) = 254.0
- crystal system = cubic

---

Run Q
VASP calculation (PBE-GGA) on crystalline Ac3SmAs4 at its relaxed geometry.

Cell and atoms, written as POSCAR:
```
Ac3SmAs4
1.0
4.474 0.000 0.000
0.000 7.741 -0.070
0.000 -2.507 7.324
As Sm Ac
4 1 3
direct
0.500 0.244 0.756 As
0.000 0.761 0.761 As
0.000 0.239 0.239 As
0.500 0.756 0.244 As
0.500 0.000 0.000 Sm
0.000 0.500 0.000 Ac
0.000 0.000 0.500 Ac
0.500 0.500 0.500 Ac
```

Values from the calculation:
- volume (Å³ per cell) = 252.9
- crystal system = orthorhombic

---

run Q ends up most stable, edging out the next structure by 0.018 eV/atom.

---

Run P
VASP calculation (PBE-GGA) on crystalline AcSn2As at its relaxed geometry.

Cell and atoms, written as POSCAR:
```
AcSn2As
1.0
4.072 0.000 0.000
0.000 4.072 0.000
0.000 0.000 6.826
Sn Ac As
2 1 1
direct
0.000 0.000 0.206 Sn
0.000 0.000 0.794 Sn
0.500 0.500 0.500 Ac
0.500 0.500 0.000 As
```

Values from the calculation:
- volume (Å³ per cell) = 113.2
- crystal system = tetragonal

---

Run Q
VASP calculation (PBE-GGA) on crystalline AcSn2As at its relaxed geometry.

Cell and atoms, written as POSCAR:
```
AcSn2As
1.0
5.062 0.000 0.000
2.531 4.384 0.000
2.531 1.461 5.454
As Sn Ac
1 2 1
direct
0.000 0.000 0.000 As
0.711 0.711 0.868 Sn
0.289 0.289 0.132 Sn
0.500 0.500 0.500 Ac
```

Values from the calculation:
- volume (Å³ per cell) = 121.0
- crystal system = trigonal

---

Run R
VASP calculation (PBE-GGA) on crystalline AcSn2As at its relaxed geometry.

Cell and atoms, written as POSCAR:
```
AcSn2As
1.0
-4.623 0.400 -2.664
-1.858 -3.140 2.753
-1.358 3.304 2.852
As Sn Ac
1 2 1
direct
0.500 0.000 0.000 As
0.000 0.000 0.500 Sn
0.000 0.500 0.000 Sn
0.500 0.500 0.500 Ac
```

Values from the calculation:
- volume (Å³ per cell) = 111.8
- crystal system = tetragonal

---

run R ends up most stable, edging out the next structure by 0.232 eV/atom.